Entry 1:
A plane-wave DFT calculation with PBE-GGA was carried out for a relaxed CaNi2 crystal.

## Properties
- energy of formation from the pure elements (eV/atom) = -0.02
- V (A^3/atom) = 17.8
- ρ (Mg/m³) = 4.90
- SG = No. 62

The structure in POSCAR format:
```
CaNi2
1.0
3.976 0.000 0.000
0.000 5.137 0.000
0.000 0.000 10.453
Ca Ni
4 8
Cartesian
0.994 0.571 1.437
2.982 1.998 6.663
2.982 4.567 9.016
0.994 3.139 3.790
2.982 2.079 10.060
0.994 0.490 4.834
2.982 0.720 3.577
0.994 3.058 0.392
0.994 1.848 8.803
2.982 3.289 1.650
0.994 4.417 6.876
2.982 4.648 5.619
```



Entry 2:
A plane-wave DFT calculation with PBE-GGA was carried out for a relaxed CaNi crystal.

## Properties
- energy of formation from the pure elements (eV/atom) = -0.08
- V (A^3/atom) = 21.1
- ρ (Mg/m³) = 3.88
- SG = No. 19

The structure in POSCAR format:
```
CaNi
1.0
-2.933 -3.442 -3.162
3.886 -4.196 0.963
-5.478 -3.127 8.485
Ni Ca
8 8
Cartesian
-4.436 -7.376 6.212
-4.107 -3.571 3.998
2.640 -4.563 1.402
-3.148 -6.018 0.957
0.620 -4.103 2.540
-2.559 -8.004 4.920
-3.977 -5.111 5.787
-3.136 -4.312 -0.678
-1.588 -6.599 7.264
-0.376 -5.538 0.169
-6.857 -5.487 6.393
-4.917 -6.549 3.451
-1.765 -5.374 3.798
-2.170 -2.843 1.685
1.170 -2.263 0.252
-1.599 -8.405 2.127
```